# 1
Entry from the Alexandria database: a relaxed structure of TaGaW2 (PBE).

```
data_TaGaW2
_space_group_name_H-M_alt 'I -4 2 d'
_space_group_IT_number 122
_space_group_name_Hall 'I -4 2bw'
_cell_length_a 7.264
_cell_length_b 7.264
_cell_length_c 5.378
_cell_angle_alpha 90.00
_cell_angle_beta 90.00
_cell_angle_gamma 90.00
loop_
_atom_site_label
_atom_site_type_symbol
_atom_site_fract_x
_atom_site_fract_y
_atom_site_fract_z
_atom_site_occupancy
Ta1 Ta 0.000 0.000 0.000 1
Ga1 Ga 0.000 0.000 0.500 1
W1 W 0.234 0.250 0.625 1
```

***

# 2
Entry from the Alexandria database: a relaxed structure of Pr2Ga2Ni5 (PBE).

```
data_Pr2Ga2Ni5
_space_group_name_H-M_alt 'P 4/m m m'
_space_group_IT_number 123
_space_group_name_Hall '-P 4 2'
_cell_length_a 4.172
_cell_length_b 4.172
_cell_length_c 8.647
_cell_angle_alpha 90.00
_cell_angle_beta 90.00
_cell_angle_gamma 90.00
loop_
_atom_site_label
_atom_site_type_symbol
_atom_site_fract_x
_atom_site_fract_y
_atom_site_fract_z
_atom_site_occupancy
Pr1 Pr 0.000 0.000 0.000 1
Pr2 Pr 0.000 0.000 0.500 1
Ga1 Ga 0.500 0.500 0.156 1
Ni1 Ni 0.000 0.500 0.284 1
Ni2 Ni 0.500 0.500 0.500 1
```

***

# 3
# TlGaAg PBE relaxed
data_TlGaAg
_space_group_name_H-M_alt 'I 4 m m'
_space_group_IT_number 107
_space_group_name_Hall 'I 4 -2'
_cell_length_a 3.485
_cell_length_b 3.485
_cell_length_c 11.153
_cell_angle_alpha 90.00
_cell_angle_beta 90.00
_cell_angle_gamma 90.00
loop_
_atom_site_label
_atom_site_type_symbol
_atom_site_fract_x
_atom_site_fract_y
_atom_site_fract_z
_atom_site_occupancy
Tl1 Tl 0.000 0.000 0.000 1
Ga1 Ga 0.000 0.000 0.306 1
Ag1 Ag 0.000 0.000 0.688 1
# Excess energy over the best structure of this formula in the dataset: 0.000 eV/atom

***

Listing ΔE_f for the structures above in their given order: 0.91, -0.31, 0.10 eV per atom.
Listing E for the structures above in their given order: -148.606, -47.324, -15.884 eV for the cell shown.
Listing magnetization for the structures above in their given order: 0.0000, 0.0000, 0.0000 μB/atom.